Record 1
The following is a DFT calculation (PBE-GGA) of Pm8SbTe4Se3 after structural relaxation.

```
data_Pm8SbTe4Se3
_cell_length_a 8.704
_cell_length_b 8.805
_cell_length_c 8.704
_cell_angle_alpha 119.61
_cell_angle_beta 120.00
_cell_angle_gamma 90.00
_space_group_name_H-M_alt 'P 1'
_space_group_IT_number 1
loop_
_space_group_symop_operation_xyz
'x,y,z'
loop_
_atom_site_label
_atom_site_fract_x
_atom_site_fract_y
_atom_site_fract_z
_atom_site_occupancy
Pm1 0.247 0.724 0.977 1
Pm2 0.247 0.724 0.494 1
Pm3 0.261 0.283 0.522 1
Pm4 0.730 0.724 0.977 1
Pm5 0.270 0.276 0.023 1
Pm6 0.739 0.717 0.478 1
Pm7 0.753 0.276 0.506 1
Pm8 0.753 0.276 0.023 1
Sb1 0.000 0.500 0.000 1
Te1 0.500 0.000 0.000 1
Te2 0.500 0.000 0.500 1
Te3 0.000 0.000 0.000 1
Te4 0.000 0.000 0.500 1
Se1 0.500 0.500 0.000 1
Se2 0.500 0.500 0.500 1
Se3 0.000 0.500 0.500 1
```

Computed properties:
ΔE_f (raw)	-1.56	eV per atom
symmetry	No. 166

Record 2
The following is a DFT calculation (PBE-GGA) of Ce2NiOs3 after structural relaxation.

```
data_Ce2NiOs3
_cell_length_a 5.304
_cell_length_b 5.304
_cell_length_c 5.341
_cell_angle_alpha 90.12
_cell_angle_beta 119.80
_cell_angle_gamma 119.83
_space_group_name_H-M_alt 'P 1'
_space_group_IT_number 1
loop_
_space_group_symop_operation_xyz
'x,y,z'
loop_
_atom_site_label
_atom_site_fract_x
_atom_site_fract_y
_atom_site_fract_z
_atom_site_occupancy
Ce1 0.754 0.377 0.131 1
Ce2 0.246 0.623 0.869 1
Ni1 0.000 0.000 0.000 1
Os1 0.500 0.500 0.500 1
Os2 0.000 0.000 0.500 1
Os3 0.500 0.000 0.500 1
```

Computed properties:
formation energy from the elements	-0.29	eV per atom
symmetry	No. 12

Record 3
The following is a DFT calculation (PBE-GGA) of Ba2NaB2Se6 after structural relaxation.

```
data_Ba2NaB2Se6
_cell_length_a 6.879
_cell_length_b 6.879
_cell_length_c 9.050
_cell_angle_alpha 67.66
_cell_angle_beta 67.66
_cell_angle_gamma 60.00
_space_group_name_H-M_alt 'P 1'
_space_group_IT_number 1
loop_
_space_group_symop_operation_xyz
'x,y,z'
loop_
_atom_site_label
_atom_site_fract_x
_atom_site_fract_y
_atom_site_fract_z
_atom_site_occupancy
Ba1 0.790 0.790 0.629 1
Ba2 0.210 0.210 0.371 1
Na1 0.000 0.000 0.000 1
B1 0.427 0.427 0.719 1
B2 0.573 0.573 0.281 1
Se1 0.738 0.738 0.278 1
Se2 0.246 0.738 0.278 1
Se3 0.738 0.246 0.278 1
Se4 0.262 0.754 0.722 1
Se5 0.754 0.262 0.722 1
Se6 0.262 0.262 0.722 1
```

Computed properties:
ΔE_f (raw)	-0.91	eV per atom
symmetry	No. 166

Record 4
The following is a DFT calculation (PBE-GGA) of La2Ga5Pt4 after structural relaxation.

```
data_La2Ga5Pt4
_cell_length_a 5.606
_cell_length_b 5.575
_cell_length_c 8.524
_cell_angle_alpha 80.48
_cell_angle_beta 70.80
_cell_angle_gamma 59.81
_space_group_name_H-M_alt 'P 1'
_space_group_IT_number 1
loop_
_space_group_symop_operation_xyz
'x,y,z'
loop_
_atom_site_label
_atom_site_fract_x
_atom_site_fract_y
_atom_site_fract_z
_atom_site_occupancy
La1 0.865 0.000 0.270 1
La2 0.135 0.000 0.730 1
Ga1 0.500 0.000 0.000 1
Ga2 0.000 0.500 0.000 1
Ga3 0.500 0.500 0.000 1
Ga4 0.250 0.500 0.500 1
Ga5 0.750 0.500 0.500 1
Pt1 0.478 0.308 0.736 1
Pt2 0.522 0.692 0.264 1
Pt3 0.214 0.308 0.264 1
Pt4 0.786 0.692 0.736 1
```

Computed properties:
formation energy from the elements	-0.88	eV per atom
symmetry	No. 69

Record 5
The following is a DFT calculation (PBE-GGA) of LiCuMo2 after structural relaxation.

```
data_LiCuMo2
_cell_length_a 4.840
_cell_length_b 4.840
_cell_length_c 4.840
_cell_angle_alpha 140.72
_cell_angle_beta 125.98
_cell_angle_gamma 68.81
_space_group_name_H-M_alt 'P 1'
_space_group_IT_number 1
loop_
_space_group_symop_operation_xyz
'x,y,z'
loop_
_atom_site_label
_atom_site_fract_x
_atom_site_fract_y
_atom_site_fract_z
_atom_site_occupancy
Cu1 0.491 0.491 0.000 1
Li1 0.261 0.761 0.500 1
Mo1 0.991 0.991 0.000 1
Mo2 0.757 0.257 0.500 1
```

Computed properties:
formation energy from the elements	0.38	eV per atom
symmetry	No. 44
offset from the most stable computed form	0.2036	eV/atom

Record 6
The following is a DFT calculation (PBE-GGA) of In4HgSe2 after structural relaxation.

```
data_In4HgSe2
_cell_length_a 4.196
_cell_length_b 6.915
_cell_length_c 7.414
_cell_angle_alpha 82.29
_cell_angle_beta 106.44
_cell_angle_gamma 90.00
_space_group_name_H-M_alt 'P 1'
_space_group_IT_number 1
loop_
_space_group_symop_operation_xyz
'x,y,z'
loop_
_atom_site_label
_atom_site_fract_x
_atom_site_fract_y
_atom_site_fract_z
_atom_site_occupancy
In1 0.113 0.578 0.227 1
In2 0.887 0.422 0.773 1
In3 0.362 0.825 0.724 1
In4 0.638 0.175 0.276 1
Hg1 0.000 0.000 0.000 1
Se1 0.280 0.236 0.560 1
Se2 0.720 0.764 0.440 1
```

Computed properties:
ΔE_f (raw)	-0.24	eV per atom
symmetry	No. 12
offset from the most stable computed form	0.0302	eV/atom

Record 7
The following is a DFT calculation (PBE-GGA) of Mg2MnSe after structural relaxation.

```
data_Mg2MnSe
_cell_length_a 7.852
_cell_length_b 7.852
_cell_length_c 6.236
_cell_angle_alpha 50.98
_cell_angle_beta 50.98
_cell_angle_gamma 90.00
_space_group_name_H-M_alt 'P 1'
_space_group_IT_number 1
loop_
_space_group_symop_operation_xyz
'x,y,z'
loop_
_atom_site_label
_atom_site_fract_x
_atom_site_fract_y
_atom_site_fract_z
_atom_site_occupancy
Mg1 0.665 0.125 0.250 1
Mg2 0.085 0.625 0.250 1
Mg3 0.375 0.335 0.750 1
Mg4 0.875 0.915 0.750 1
Mn1 0.500 0.500 0.000 1
Mn2 0.250 0.750 0.500 1
Se1 0.000 0.000 0.000 1
Se2 0.750 0.250 0.500 1
```

Computed properties:
ΔE_f (raw)	0.01	eV per atom
symmetry	No. 122

Record 8
The following is a DFT calculation (PBE-GGA) of PrDyI after structural relaxation.

```
data_PrDyI
_cell_length_a 3.886
_cell_length_b 5.465
_cell_length_c 5.465
_cell_angle_alpha 120.00
_cell_angle_beta 90.00
_cell_angle_gamma 90.00
_space_group_name_H-M_alt 'P 1'
_space_group_IT_number 1
loop_
_space_group_symop_operation_xyz
'x,y,z'
loop_
_atom_site_label
_atom_site_fract_x
_atom_site_fract_y
_atom_site_fract_z
_atom_site_occupancy
Pr1 0.717 0.667 0.333 1
I1 0.084 0.000 0.000 1
Dy1 0.199 0.333 0.667 1
```

Computed properties:
ΔE_f (raw)	-0.19	eV per atom
symmetry	No. 156
offset from the most stable computed form	0.2654	eV/atom

Record 9
The following is a DFT calculation (PBE-GGA) of NaGaTe2 after structural relaxation.

```
data_NaGaTe2
_cell_length_a 9.300
_cell_length_b 4.280
_cell_length_c 14.789
_cell_angle_alpha 90.00
_cell_angle_beta 90.00
_cell_angle_gamma 90.00
_space_group_name_H-M_alt 'P 1'
_space_group_IT_number 1
loop_
_space_group_symop_operation_xyz
'x,y,z'
loop_
_atom_site_label
_atom_site_fract_x
_atom_site_fract_y
_atom_site_fract_z
_atom_site_occupancy
Na1 0.267 0.250 0.271 1
Na2 0.233 0.750 0.771 1
Na3 0.733 0.750 0.729 1
Na4 0.767 0.250 0.229 1
Te1 0.810 0.250 0.476 1
Te2 0.690 0.750 0.976 1
Te3 0.190 0.750 0.524 1
Te4 0.310 0.250 0.024 1
Te5 0.481 0.250 0.738 1
Te6 0.019 0.750 0.238 1
Te7 0.519 0.750 0.262 1
Te8 0.981 0.250 0.762 1
Ga1 0.040 0.250 0.594 1
Ga2 0.460 0.750 0.094 1
Ga3 0.960 0.750 0.406 1
Ga4 0.540 0.250 0.906 1
```

Computed properties:
ΔE_f (raw)	-0.54	eV per atom
symmetry	No. 62

Record 10
The following is a DFT calculation (PBE-GGA) of NaUCl6 after structural relaxation.

```
data_NaUCl6
_cell_length_a 6.754
_cell_length_b 6.846
_cell_length_c 7.052
_cell_angle_alpha 60.96
_cell_angle_beta 82.12
_cell_angle_gamma 73.59
_space_group_name_H-M_alt 'P 1'
_space_group_IT_number 1
loop_
_space_group_symop_operation_xyz
'x,y,z'
loop_
_atom_site_label
_atom_site_fract_x
_atom_site_fract_y
_atom_site_fract_z
_atom_site_occupancy
Na1 0.000 0.000 0.000 1
U1 0.500 0.500 0.000 1
Cl1 0.730 0.427 0.712 1
Cl2 0.730 0.139 0.288 1
Cl3 0.270 0.861 0.712 1
Cl4 0.270 0.573 0.288 1
Cl5 0.724 0.740 0.000 1
Cl6 0.276 0.260 0.000 1
```

Computed properties:
ΔE_f (raw)	-1.70	eV per atom
symmetry	No. 12